(1)
Density functional theory data (GGA-PBEsol) for AlTl2As after structural relaxation.

Properties
Distance to the lowest polymorph of the same formula (meV per atom): 274
Spin magnetization (μB per formula unit): 0.00
Symmetry: P2/m, No. 10
E_form (eV/atom): 0.237
DOS at the Fermi energy (states/eV/f.u.): 2.3

Cell lengths 3.024, 5.292, 5.856 Å; angles 90.00, 90.76, 90.00 degrees
Element x y z (fractional)
Tl: 0.780 0.000 0.749
Al: 0.500 0.500 0.000
Tl: 0.220 0.000 0.251
As: 0.500 0.500 0.500

=====

(2)
Density functional theory data (GGA-PBEsol) for Al2TlZnN after structural relaxation.

Properties
Spin magnetization (μB per formula unit): 0.00
Symmetry: P4/mmm, No. 123
VASP energy (eV per atom): -2.75
DOS at the Fermi energy (states/eV/f.u.): 2.1

Cell lengths 4.176, 5.383, 5.383 Å; angles 90.00, 90.00, 90.00 degrees
Element x y z (fractional)
N: 0.500 0.000 0.000
Al: 0.000 0.500 0.000
Zn: 0.500 0.500 0.500
Al: 0.000 0.000 0.500
Tl: 0.000 0.000 0.000

=====

(3)
Density functional theory data (GGA-PBEsol) for BaIClO2 after structural relaxation.

Properties
Distance to the lowest polymorph of the same formula (meV per atom): 42
Spin magnetization (μB per formula unit): 0.32
Symmetry: P4/mmm, No. 123
DOS at the Fermi energy (states/eV/f.u.): 2.6

Cell lengths 4.634, 4.634, 4.924 Å; angles 90.00, 90.00, 90.00 degrees
Element x y z (fractional)
O: 0.000 0.500 0.000
O: 0.500 0.000 0.000
I: 0.000 0.000 0.500
Ba: 0.500 0.500 0.500
Cl: 0.000 0.000 0.000

=====

(4)
Density functional theory data (GGA-PBEsol) for TaCoW after structural relaxation.

Properties
Distance to the lowest polymorph of the same formula (meV per atom): 0
Spin magnetization (μB per formula unit): 0.00
Symmetry: Imm2, No. 44
E_form (eV/atom): 0.132
DOS at the Fermi energy (states/eV/f.u.): 3.0

Cell lengths 2.766, 3.415, 5.110 Å; angles 109.52, 105.70, 90.00 degrees
Element x y z (fractional)
Co: 0.006 0.006 0.012
W: 0.653 0.653 0.306
Ta: 0.341 0.341 0.683